No. 1
First-principles (GGA-PBE) data for crystalline MgNb4Te2 at its relaxed geometry, as listed in Alexandria via LeMat-Bulk.

Output
formation energy from raw total energies = 1.041 eV/atom
DOS at the Fermi energy = 1.11 states/eV/atom

a = 4.7836 Å, b = 4.7836 Å, c = 13.9916 Å
α = 90.00°, β = 90.00°, γ = 90.00°
Space group I4/mmm (No. 139)
Asymmetric unit:
Mg  0.0000  0.0000  0.0000
Nb  0.0000  0.0000  0.1830
Nb  0.0000  0.5000  0.0000
Te  0.0000  0.0000  0.3768

***

No. 2
First-principles (GGA-PBE) data for crystalline Th2MgNb at its relaxed geometry, as listed in Alexandria via LeMat-Bulk.

Output
DOS at the Fermi energy = 1.12 states/eV/atom
polymorph energy (0 for the lowest one) = 0 meV per atom
DFT formation energy = 0.1753 eV/atom

a = 3.7192 Å, b = 3.7192 Å, c = 7.8318 Å
α = 90.00°, β = 90.00°, γ = 90.00°
Space group P4/mmm (No. 123)
Asymmetric unit:
Th  0.0000  0.0000  0.2281
Mg  0.5000  0.5000  0.5000
Nb  0.5000  0.5000  0.0000

***

No. 3
First-principles (GGA-PBE) data for crystalline Th2MgNb at its relaxed geometry, as listed in Alexandria via LeMat-Bulk.

Output
DOS at the Fermi energy = 1.40 states/eV/atom
polymorph energy (0 for the lowest one) = 341 meV per atom
DFT formation energy = 0.5162 eV/atom

a = 3.2612 Å, b = 3.2612 Å, c = 35.6020 Å
α = 90.00°, β = 90.00°, γ = 120.00°
Space group R-3m (No. 166, hexagonal axes)
Asymmetric unit:
Th  0.0000  0.0000  0.0829
Mg  0.0000  0.0000  0.5000
Nb  0.0000  0.0000  0.0000

***

No. 4
First-principles (GGA-PBE) data for crystalline TmThMgNb at its relaxed geometry, as listed in Alexandria via LeMat-Bulk.

Output
DOS at the Fermi energy = 0.18 states/eV/atom
DFT formation energy = 0.1469 eV/atom

a = 7.3439 Å, b = 7.3439 Å, c = 7.3439 Å
α = 90.00°, β = 90.00°, γ = 90.00°
Space group F-43m (No. 216)
Asymmetric unit:
Tm  0.0000  0.0000  0.0000
Th  0.0000  0.0000  0.5000
Mg  0.2500  0.2500  0.2500
Nb  0.2500  0.2500  0.7500

***

> Which of these has the highest DOS at the Fermi energy?

number 3